1.
CePm6Sm | PBE | optimized geometry

Properties
Its polymorph energy (0 for the lowest one) is 0.002 eV/atom.

Lattice parameters (Å, degrees): 6.295 6.295 8.129 105.02 105.01 109.32
Element x y z (fractional)
Pm 0.123 0.623 0.246
Pm 0.877 0.377 0.754
Pm 0.377 0.877 0.754
Pm 0.623 0.123 0.246
Pm 0.753 0.753 0.505
Pm 0.247 0.247 0.495
Sm 0.500 0.500 0.000
Ce 0.000 0.000 0.000



2.
CePmSm2 | PBE | optimized geometry

Properties
Its polymorph energy (0 for the lowest one) is 0.016 eV/atom.

Lattice parameters (Å, degrees): 5.089 5.098 5.098 90.00 90.00 90.00
Element x y z (fractional)
Sm 0.000 0.000 0.500
Sm 0.000 0.500 0.000
Pm 0.500 0.000 0.000
Ce 0.500 0.500 0.500



3.
CePm2Sm9 | PBE | optimized geometry

Lattice parameters (Å, degrees): 5.127 5.127 15.377 90.00 90.00 90.00
Element x y z (fractional)
Pm 0.000 0.000 0.668
Pm 0.000 0.000 0.332
Sm 0.500 0.500 0.333
Sm 0.500 0.000 0.500
Sm 0.500 0.000 0.836
Sm 0.500 0.500 0.667
Sm 0.000 0.500 0.500
Sm 0.500 0.000 0.164
Sm 0.000 0.500 0.836
Sm 0.000 0.500 0.164
Sm 0.500 0.500 0.000
Ce 0.000 0.000 0.000



4.
CePm8Sm5 | PBE | optimized geometry

Lattice parameters (Å, degrees): 8.570 8.570 8.570 111.68 105.13 111.68
Element x y z (fractional)
Sm 0.281 0.101 0.964
Sm 0.819 0.683 0.719
Sm 0.863 0.899 0.181
Sm 0.500 0.000 0.500
Sm 0.036 0.317 0.137
Pm 0.072 0.749 0.468
Pm 0.558 0.888 0.823
Pm 0.177 0.735 0.065
Pm 0.677 0.396 0.928
Pm 0.935 0.112 0.669
Pm 0.331 0.265 0.442
Pm 0.719 0.251 0.323
Pm 0.532 0.604 0.281
Ce 0.250 0.500 0.750



5.
CePmSm2 | PBE | optimized geometry

Properties
Its polymorph energy (0 for the lowest one) is 0.004 eV/atom.

Lattice parameters (Å, degrees): 3.602 3.602 11.947 81.33 81.33 60.00
Element x y z (fractional)
Ce 0.500 0.500 0.499
Sm 0.084 0.084 0.748
Sm 0.249 0.249 0.253
Pm 0.667 0.667 0.000



6.
CePmSm14 | PBE | optimized geometry

Lattice parameters (Å, degrees): 7.259 7.259 10.247 90.00 90.00 90.00
Element x y z (fractional)
Sm 0.875 0.125 0.500
Sm 0.627 0.373 0.249
Sm 0.875 0.625 0.000
Sm 0.123 0.877 0.751
Sm 0.375 0.125 0.500
Sm 0.627 0.877 0.249
Sm 0.627 0.877 0.751
Sm 0.375 0.625 0.500
Sm 0.375 0.125 0.000
Sm 0.123 0.373 0.249
Sm 0.123 0.373 0.751
Sm 0.123 0.877 0.249
Sm 0.875 0.625 0.500
Sm 0.627 0.373 0.751
Ce 0.875 0.125 0.000
Pm 0.375 0.625 0.000



7.
Ce4PmSm | PBE | optimized geometry

Lattice parameters (Å, degrees): 6.362 6.362 6.362 60.00 60.00 60.00
Element x y z (fractional)
Pm 0.000 0.000 0.000
Ce 0.129 0.624 0.624
Ce 0.624 0.129 0.624
Ce 0.624 0.624 0.129
Ce 0.624 0.624 0.624
Sm 0.250 0.250 0.250



8.
CePmSm2 | PBE | optimized geometry

Properties
Its polymorph energy (0 for the lowest one) is 0.140 eV/atom.

Lattice parameters (Å, degrees): 5.754 5.754 5.754 60.00 60.00 60.00
Element x y z (fractional)
Sm 0.750 0.750 0.750
Sm 0.250 0.250 0.250
Ce 0.000 0.000 0.000
Pm 0.500 0.500 0.500



9.
CePm3Sm8 | PBE | optimized geometry

Lattice parameters (Å, degrees): 8.433 8.433 8.433 94.50 117.43 117.43
Element x y z (fractional)
Sm 0.245 0.363 0.363
Sm 0.000 0.258 0.784
Sm 0.000 0.637 0.882
Sm 0.000 0.784 0.258
Sm 0.755 0.118 0.118
Sm 0.473 0.216 0.216
Sm 0.000 0.882 0.637
Sm 0.527 0.742 0.742
Pm 0.500 0.250 0.750
Pm 0.000 0.500 0.500
Pm 0.500 0.750 0.250
Ce 0.000 0.000 0.000



10.
CePmSm | PBE | optimized geometry

Properties
Its polymorph energy (0 for the lowest one) is 0.023 eV/atom.

Lattice parameters (Å, degrees): 6.777 3.487 16.723 121.33 36.91 104.85
Element x y z (fractional)
Pm 0.584 0.965 0.238
Pm 0.452 0.087 0.913
Sm 0.073 0.256 0.256
Sm 0.963 0.796 0.895
Ce 0.251 0.122 0.568
Ce 0.786 0.929 0.583



11.
CePmSm2 | PBE | optimized geometry

Properties
Its polymorph energy (0 for the lowest one) is 0.131 eV/atom.

Lattice parameters (Å, degrees): 3.474 3.474 12.711 82.15 82.15 60.00
Element x y z (fractional)
Pm 0.500 0.500 0.500
Sm 0.088 0.088 0.737
Sm 0.912 0.912 0.263
Ce 0.000 0.000 0.000



12.
Ce2Pm8Sm | PBE | optimized geometry

Lattice parameters (Å, degrees): 5.617 8.335 9.467 116.12 107.26 90.00
Element x y z (fractional)
Ce 0.200 0.700 0.400
Ce 0.800 0.300 0.600
Pm 0.000 0.702 0.000
Pm 0.000 0.298 0.000
Pm 0.360 0.155 0.720
Pm 0.158 0.158 0.317
Pm 0.360 0.565 0.720
Pm 0.842 0.842 0.683
Pm 0.640 0.845 0.280
Pm 0.640 0.435 0.280
Sm 0.500 0.000 0.000



| no. | energy of formation from the pure elements (meV per atom) |
| --- | --- |
| 1 | 49 |
| 2 | 78 |
| 3 | 35 |
| 4 | 246 |
| 5 | 67 |
| 6 | 31 |
| 7 | 205 |
| 8 | 203 |
| 9 | 550 |
| 10 | 96 |
| 11 | 194 |
| 12 | 154 |